An optimized crystal structure of LaTeCl2, computed with PBE.

The structure in POSCAR format:
```
LaTeCl2
1.0
0.000 3.788 3.788
3.788 0.000 3.788
3.788 3.788 0.000
La Te Cl
1 1 2
Direct
0.000 0.000 0.000
0.750 0.750 0.750
0.250 0.250 0.250
0.500 0.500 0.500
```

The formation energy from raw total energies is -1.26 eV per atom. Its offset from the most stable computed form is 375 meV per atom. As for the density of states at the Fermi level: 1.439 states/eV/atom. The value obtained for the total energy is -4.205 eV per atom.

***

An optimized crystal structure of LaTeCl2, computed with PBE.

The structure in POSCAR format:
```
LaTeCl2
1.0
3.276 -6.475 0.000
3.276 6.475 0.000
0.000 0.000 4.003
La Te Cl
1 1 2
Direct
0.000 0.000 0.000
0.500 0.500 0.000
0.148 0.852 0.500
0.852 0.148 0.500
```

The formation energy from raw total energies is -1.62 eV per atom. Its offset from the most stable computed form is 19 meV per atom. As for the density of states at the Fermi level: 0.645 states/eV/atom. The value obtained for the total energy is -4.561 eV per atom.

***

An optimized crystal structure of LaTe2Cl, computed with PBE.

The structure in POSCAR format:
```
LaTe2Cl
1.0
6.906 -2.115 0.000
6.906 2.115 0.000
-0.883 0.000 5.340
La Te Cl
1 2 1
Direct
0.000 0.000 0.000
0.329 0.329 0.778
0.482 0.482 0.505
0.641 0.641 0.132
```

The formation energy from raw total energies is -1.31 eV per atom. Its offset from the most stable computed form is 0 meV per atom. The value obtained for the total energy is -4.572 eV per atom.

***

An optimized crystal structure of LaTiTe2Cl, computed with PBE.

The structure in POSCAR format:
```
LaTiTe2Cl
1.0
6.184 0.000 0.000
0.000 6.184 0.000
0.000 0.000 5.305
La Ti Te Cl
1 1 2 1
Direct
0.000 0.000 0.000
0.500 0.500 0.500
0.000 0.500 0.000
0.500 0.000 0.000
0.000 0.000 0.500
```

The formation energy from raw total energies is -0.25 eV per atom. As for the density of states at the Fermi level: 1.794 states/eV/atom. The value obtained for the total energy is -4.440 eV per atom.

***

An optimized crystal structure of LaTlTeCl2, computed with PBE.

The structure in POSCAR format:
```
LaTlTeCl2
1.0
5.548 0.000 0.000
0.000 5.548 0.000
0.000 0.000 6.327
La Tl Te Cl
1 1 1 2
Direct
0.000 0.000 0.000
0.500 0.500 0.500
0.000 0.000 0.500
0.000 0.500 0.000
0.500 0.000 0.000
```

The formation energy from raw total energies is -1.52 eV per atom. As for the density of states at the Fermi level: 0.000 states/eV/atom. The value obtained for the total energy is -4.350 eV per atom.

***

An optimized crystal structure of LaYTe2Cl, computed with PBE.

The structure in POSCAR format:
```
LaYTe2Cl
1.0
4.411 0.000 0.000
0.000 4.411 0.000
0.000 0.000 15.064
La Y Te Cl
2 2 4 2
Direct
0.250 0.250 0.136
0.750 0.750 0.864
0.250 0.250 0.585
0.750 0.750 0.415
0.250 0.250 0.380
0.250 0.250 0.794
0.750 0.750 0.206
0.750 0.750 0.620
0.250 0.750 0.000
0.750 0.250 0.000
```

The formation energy from raw total energies is -1.71 eV per atom. As for the density of states at the Fermi level: 0.334 states/eV/atom. The value obtained for the total energy is -5.611 eV per atom.